Density functional theory data (PBEsol) for a relaxed structure of Be4TlRu.

Lattice parameters (Å, degrees): 4.508 4.508 4.508 60.00 60.00 60.00
Sites, in units of the cell vectors:
Be 0.377 0.377 0.377
Be 0.377 0.377 0.869
Be 0.377 0.869 0.377
Be 0.869 0.377 0.377
Tl 0.000 0.000 0.000
Ru 0.750 0.750 0.750

Output
DFT formation energy in eV per atom: 0.096
E in eV/atom: -4.70